*A*
Compound: ReTePO
Source: the Open Quantum Materials Database
Functional: PBE-GGA
Structure: relaxed

Lattice parameters (Å, degrees): 3.7463 6.8909 6.3438 90.00 90.00 90.00
Closest atoms and distances in Å follow each position.
Fractional positions:
Re  0.0000  0.1848  0.0000  2 O 1.87
Re  0.0000  0.8152  0.5000  2 O 1.87
Te  0.5000  0.3363  0.5219  2 P 2.59
Te  0.5000  0.6637  0.0219  2 P 2.59
P  0.0000  0.1242  0.3596  2 Re 2.31-2.32
P  0.0000  0.8758  0.8596  2 Re 2.31-2.32
O  0.5000  0.1943  0.9994  2 Re 1.87
O  0.5000  0.8057  0.4994  2 Re 1.87

*B*
Compound: ReTePO
Source: the Open Quantum Materials Database
Functional: PBE-GGA
Structure: relaxed

Lattice parameters (Å, degrees): 4.2007 4.2007 6.9504 90.00 90.00 90.00
Closest atoms and distances in Å follow each position.
Fractional positions:
Re  0.2500  0.7500  0.0000  4 P 2.39
Re  0.7500  0.2500  0.0000  4 P 2.39
Te  0.2500  0.2500  0.3338  4 O 2.40
Te  0.7500  0.7500  0.6662  4 O 2.40
P  0.2500  0.2500  0.8356  4 Re 2.39
P  0.7500  0.7500  0.1644  4 Re 2.39
O  0.2500  0.7500  0.5000  4 Te 2.40
O  0.7500  0.2500  0.5000  4 Te 2.40

Stability ranking, top and bottom: *A* is the most stable and *B* is the least stable.

*A*
Compound: ReTePO
Source: the Open Quantum Materials Database
Functional: PBE-GGA
Structure: relaxed

Lattice parameters (Å, degrees): 3.1111 7.6248 7.3921 90.00 90.00 90.00
Closest atoms and distances in Å follow each position.
Fractional positions:
Re  0.0000  0.0172  0.0000  2 O 1.88-1.90
Re  0.0000  0.9828  0.5000  2 O 1.88-1.90
Te  0.5000  0.2914  0.5940  1 P 2.62, 2 Re 2.90
Te  0.5000  0.7086  0.0940  1 P 2.62, 2 Re 2.90
P  0.5000  0.2478  0.9450  2 Re 2.38, 1 Te 2.62
P  0.5000  0.7522  0.4450  2 Re 2.38, 1 Te 2.62
O  0.0000  0.0490  0.2543  2 Re 1.88-1.90
O  0.0000  0.9510  0.7543  2 Re 1.88-1.90

*B*
Compound: ReTePO
Source: the Open Quantum Materials Database
Functional: PBE-GGA
Structure: relaxed

Lattice parameters (Å, degrees): 4.1824 4.1824 10.1657 90.00 90.00 97.68
Closest atoms and distances in Å follow each position.
Fractional positions:
Re  0.2500  0.7500  0.9575  1 P 2.11, 4 O 2.14
Re  0.7500  0.2500  0.0425  1 P 2.11, 4 O 2.14
Te  0.2500  0.2500  0.5000  2 Te 2.75
Te  0.7500  0.7500  0.5000  2 Te 2.75
P  0.2500  0.7500  0.7503  1 Re 2.11
P  0.7500  0.2500  0.2497  1 Re 2.11
O  0.2500  0.2500  0.0000  4 Re 2.14
O  0.7500  0.7500  0.0000  4 Re 2.14

*C*
Compound: ReTePO
Source: the Open Quantum Materials Database
Functional: PBE-GGA
Structure: relaxed

Lattice parameters (Å, degrees): 4.1498 4.1498 10.1489 90.00 90.00 90.00
Closest atoms and distances in Å follow each position.
Fractional positions:
Re  0.2500  0.2500  0.0476  1 P 2.10, 4 O 2.13
Re  0.7500  0.7500  0.9524  1 P 2.10, 4 O 2.13
Te  0.2500  0.7500  0.5000  4 Te 2.93, 4 P 3.25
Te  0.7500  0.2500  0.5000  4 Te 2.93, 4 P 3.25
P  0.2500  0.2500  0.2541  1 Re 2.10
P  0.7500  0.7500  0.7459  1 Re 2.10
O  0.2500  0.7500  0.0000  4 Re 2.13
O  0.7500  0.2500  0.0000  4 Re 2.13

Stability ranking, top and bottom: *A* is the most stable and *C* is the least stable.

*A*
Compound: TlRePO
Source: the Open Quantum Materials Database
Functional: PBE-GGA
Structure: relaxed

Lattice parameters (Å, degrees): 4.1229 4.1229 7.6812 90.00 90.00 90.00
Closest atoms and distances in Å follow each position.
Fractional positions:
Tl  0.2500  0.2500  0.1406  4 O 2.33
Tl  0.7500  0.7500  0.8594  4 O 2.33
Re  0.2500  0.7500  0.5000  4 P 2.39
Re  0.7500  0.2500  0.5000  4 P 2.39
P  0.2500  0.2500  0.6572  4 Re 2.39
P  0.7500  0.7500  0.3428  4 Re 2.39
O  0.2500  0.7500  0.0000  4 Tl 2.33
O  0.7500  0.2500  0.0000  4 Tl 2.33

*B*
Compound: TlRePO
Source: the Open Quantum Materials Database
Functional: PBE-GGA
Structure: relaxed

Lattice parameters (Å, degrees): 3.1424 6.7218 7.3859 90.00 90.00 90.00
Closest atoms and distances in Å follow each position.
Fractional positions:
Tl  0.0000  0.1743  0.0000  2 P 2.69-2.85, 2 Re 2.97
Tl  0.0000  0.8257  0.5000  2 P 2.69-2.85, 2 Re 2.97
Re  0.5000  0.4568  0.4372  2 O 1.87-1.90
Re  0.5000  0.5432  0.9372  2 O 1.87-1.90
P  0.0000  0.2053  0.3850  2 Re 2.34
P  0.0000  0.7947  0.8850  2 Re 2.34
O  0.5000  0.4634  0.6908  2 Re 1.87-1.90
O  0.5000  0.5366  0.1908  2 Re 1.87-1.90

*C*
Compound: TlRePO
Source: the Open Quantum Materials Database
Functional: PBE-GGA
Structure: relaxed

Lattice parameters (Å, degrees): 4.1218 4.1218 8.4124 90.00 90.00 90.00
Closest atoms and distances in Å follow each position.
Fractional positions:
Tl  0.2500  0.7500  0.0000  4 Tl 2.91, 4 P 3.18
Tl  0.7500  0.2500  0.0000  4 Tl 2.91, 4 P 3.18
Re  0.2500  0.2500  0.4351  4 O 2.13, 1 P 2.33
Re  0.7500  0.7500  0.5649  4 O 2.13, 1 P 2.33
P  0.2500  0.2500  0.7118  1 Re 2.33
P  0.7500  0.7500  0.2882  1 Re 2.33
O  0.2500  0.7500  0.5000  4 Re 2.13
O  0.7500  0.2500  0.5000  4 Re 2.13

Stability ranking, top and bottom: *B* is the most stable and *C* is the least stable.

*A*
Compound: TmRePO
Source: the Open Quantum Materials Database
Functional: PBE-GGA
Structure: relaxed

Lattice parameters (Å, degrees): 4.3005 4.3005 6.4056 90.00 90.00 90.00
Closest atoms and distances in Å follow each position.
Fractional positions:
Tm  0.2500  0.7500  0.0000  4 P 2.75, 4 Tm 3.04
Tm  0.7500  0.2500  0.0000  4 P 2.75, 4 Tm 3.04
Re  0.2500  0.2500  0.3673  4 O 2.31, 1 P 2.34
Re  0.7500  0.7500  0.6327  4 O 2.31, 1 P 2.34
P  0.2500  0.2500  0.7325  1 Re 2.34, 4 O 2.62
P  0.7500  0.7500  0.2675  1 Re 2.34, 4 O 2.62
O  0.2500  0.7500  0.5000  4 Re 2.31
O  0.7500  0.2500  0.5000  4 Re 2.31

*B*
Compound: TmRePO
Source: the Open Quantum Materials Database
Functional: PBE-GGA
Structure: relaxed

Lattice parameters (Å, degrees): 3.9604 6.0263 5.4819 90.00 90.00 90.00
Closest atoms and distances in Å follow each position.
Fractional positions:
Tm  0.0000  0.1621  0.0000  2 O 2.08
Tm  0.0000  0.8379  0.5000  2 O 2.08
Re  0.5000  0.4566  0.7615  2 O 2.08-2.12
Re  0.5000  0.5434  0.2615  2 O 2.08-2.12
P  0.0000  0.3209  0.5216  4 Re 2.51-2.78, 1 Tm 2.79
P  0.0000  0.6791  0.0216  4 Re 2.51-2.78, 1 Tm 2.79
O  0.5000  0.2462  0.0703  2 Re 2.08-2.12, 2 Tm 2.08
O  0.5000  0.7538  0.5703  2 Re 2.08-2.12, 2 Tm 2.08

*C*
Compound: TmRePO
Source: the Open Quantum Materials Database
Functional: PBE-GGA
Structure: relaxed

Lattice parameters (Å, degrees): 3.8915 3.8915 8.1684 90.00 90.00 90.00
Closest atoms and distances in Å follow each position.
Fractional positions:
Tm  0.2500  0.2500  0.1294  4 O 2.21
Tm  0.7500  0.7500  0.8706  4 O 2.21
Re  0.2500  0.7500  0.5000  4 P 2.41
Re  0.7500  0.2500  0.5000  4 P 2.41
P  0.2500  0.2500  0.6738  4 Re 2.41
P  0.7500  0.7500  0.3262  4 Re 2.41
O  0.2500  0.7500  0.0000  4 Tm 2.21
O  0.7500  0.2500  0.0000  4 Tm 2.21

Stability ranking, top and bottom: *C* is the most stable and *A* is the least stable.

*A*
Compound: ZrRePO
Source: the Open Quantum Materials Database
Functional: PBE-GGA
Structure: relaxed

Lattice parameters (Å, degrees): 4.1503 4.1503 6.5002 90.00 90.00 90.00
Closest atoms and distances in Å follow each position.
Fractional positions:
Zr  0.2500  0.7500  0.0000  4 P 2.69, 4 Zr 2.93
Zr  0.7500  0.2500  0.0000  4 P 2.69, 4 Zr 2.93
Re  0.2500  0.2500  0.3676  4 O 2.25, 1 P 2.41
Re  0.7500  0.7500  0.6324  4 O 2.25, 1 P 2.41
P  0.2500  0.2500  0.7378  1 Re 2.41, 4 O 2.59, 4 Zr 2.69
P  0.7500  0.7500  0.2622  1 Re 2.41, 4 O 2.59, 4 Zr 2.69
O  0.2500  0.7500  0.5000  4 Re 2.25
O  0.7500  0.2500  0.5000  4 Re 2.25

*B*
Compound: ZrRePO
Source: the Open Quantum Materials Database
Functional: PBE-GGA
Structure: relaxed

Lattice parameters (Å, degrees): 3.9391 6.1995 5.2761 90.00 90.00 90.00
Closest atoms and distances in Å follow each position.
Fractional positions:
Zr  0.0000  0.1696  0.0000  2 O 2.08
Zr  0.0000  0.8304  0.5000  2 O 2.08
Re  0.5000  0.4209  0.6775  2 O 2.04-2.14
Re  0.5000  0.5791  0.1775  2 O 2.04-2.14
P  0.0000  0.2522  0.5148  2 Re 2.39, 2 Zr 2.61-2.62
P  0.0000  0.7478  0.0148  2 Re 2.39, 2 Zr 2.61-2.62
O  0.5000  0.2702  0.0433  2 Re 2.04-2.14, 2 Zr 2.08
O  0.5000  0.7298  0.5433  2 Re 2.04-2.14, 2 Zr 2.08

Stability ranking, top and bottom: *B* is the most stable and *A* is the least stable.